DFT (PBE) results for a relaxed HPtS2Cl crystal.

**Total energy**: -15.78 eV/f.u.
**V**: 96 Å³/cell
**Total magnetization**: 0.000 Bohr magnetons per cell
**N(E_F)**: 0.856 states/eV per atom

a = 3.5367 Å, b = 3.5367 Å, c = 7.6788 Å
α = 90.00°, β = 90.00°, γ = 90.00°
Last column: nearest neighbours and their distance in Å.
Space group P4/mmm (No. 123)
One atom of each set of equivalent atoms:
H  0.0000  0.0000  0.0000 x1  4 S 1.77
Pt  0.5000  0.5000  0.5000 x1  4 Cl 2.50
S  0.0000  0.5000  0.0000 x2  2 H 1.77
Cl  0.0000  0.0000  0.5000 x1  4 Pt 2.50

---

DFT (PBE) results for a relaxed Tl2HPtCl crystal.

**Total energy**: -17.95 eV/f.u.
**V**: 109 Å³/cell
**Total magnetization**: 0.000 Bohr magnetons per cell
**N(E_F)**: 0.243 states/eV per atom

a = 5.4453 Å, b = 5.4453 Å, c = 3.6685 Å
α = 90.00°, β = 90.00°, γ = 90.00°
Last column: nearest neighbours and their distance in Å.
Space group P4/mmm (No. 123)
One atom of each set of equivalent atoms:
Tl  0.0000  0.5000  0.0000 x2  2 Pt 2.72
H  0.0000  0.0000  0.5000 x1  2 Pt 1.83
Pt  0.0000  0.0000  0.0000 x1  2 H 1.83
Cl  0.5000  0.5000  0.5000 x1  8 Tl 3.28, 2 Cl 3.67

---

DFT (PBE) results for a relaxed Zr2HPtCl crystal.

**Total energy**: -28.70 eV/f.u.
**V**: 82 Å³/cell
**Total magnetization**: 0.000 Bohr magnetons per cell
**N(E_F)**: 0.729 states/eV per atom

a = 5.0179 Å, b = 5.0179 Å, c = 3.2465 Å
α = 90.00°, β = 90.00°, γ = 90.00°
Last column: nearest neighbours and their distance in Å.
Space group P4/mmm (No. 123)
One atom of each set of equivalent atoms:
Zr  0.0000  0.5000  0.0000 x2  2 Cl 2.51
H  0.0000  0.0000  0.5000 x1  2 Cl 1.62
Pt  0.5000  0.5000  0.5000 x1  8 Zr 2.99, 2 Pt 3.25
Cl  0.0000  0.0000  0.0000 x1  2 H 1.62

---

DFT (PBE) results for a relaxed PuHCl3 crystal.

**Total energy**: -28.83 eV/f.u.
**V**: 631 Å³/cell
**Total magnetization**: 16.000 Bohr magnetons per cell
**N(E_F)**: 1.180 states/eV per atom

a = 7.7401 Å, b = 9.3335 Å, c = 8.7289 Å
α = 90.00°, β = 90.00°, γ = 90.00°
Last column: nearest neighbours and their distance in Å.
Space group Imma (No. 74)
One atom of each set of equivalent atoms:
Pu  0.2500  0.2500  0.2500 x4  2 H 2.16
H  0.0000  0.2500  0.1408 x4  2 Pu 2.16
Cl  0.0000  0.2500  0.4633 x4  2 Pu 2.69, 1 H 2.82
Cl  0.2500  0.0168  0.7500 x8  1 Pu 2.49

---

DFT (PBE) results for a relaxed Pu2HCl4 crystal.

**Total energy**: -50.14 eV/f.u.
**V**: 503 Å³/cell
**Total magnetization**: 33.000 Bohr magnetons per cell
**N(E_F)**: 2.671 states/eV per atom

a = 4.7709 Å, b = 4.7709 Å, c = 25.5036 Å
α = 90.00°, β = 90.00°, γ = 120.00°
Last column: nearest neighbours and their distance in Å.
Space group R-3m (No. 166, hexagonal axes)
One atom of each set of equivalent atoms:
Pu  0.0000  0.0000  0.0838 x6  1 H 2.14
H  0.0000  0.0000  0.0000 x3  2 Pu 2.14
Cl  0.0000  0.0000  0.2052 x6  4 Pu 2.98-3.10
Cl  0.0000  0.0000  0.3836 x6  3 Pu 2.88, 3 H 3.04

---

DFT (PBE) results for a relaxed PuHCl2 crystal.

**Total energy**: -21.88 eV/f.u.
**V**: 305 Å³/cell
**Total magnetization**: 19.590 Bohr magnetons per cell
**N(E_F)**: 1.921 states/eV per atom

a = 3.7656 Å, b = 3.7656 Å, c = 24.8748 Å
α = 90.00°, β = 90.00°, γ = 120.00°
Last column: nearest neighbours and their distance in Å.
Space group R-3m (No. 166, hexagonal axes)
One atom of each set of equivalent atoms:
Pu  0.0000  0.0000  0.0000 x3  2 Cl 2.50
H  0.0000  0.0000  0.5000 x3  6 Cl 2.73
Cl  0.0000  0.0000  0.1005 x6  1 Pu 2.50, 3 H 2.73

---

DFT (PBE) results for a relaxed Pu2HCl8 crystal.

**Total energy**: -63.36 eV/f.u.
**V**: 665 Å³/cell
**Total magnetization**: 18.000 Bohr magnetons per cell
**N(E_F)**: 1.638 states/eV per atom

a = 11.1424 Å, b = 8.3601 Å, c = 7.4966 Å
α = 90.00°, β = 107.80°, γ = 90.00°
Last column: nearest neighbours and their distance in Å.
Space group C2/m (No. 12)
One atom of each set of equivalent atoms:
Pu  0.1979  0.0000  0.0667 x4  7 Cl 2.66-2.81
H  0.0000  0.5000  0.5000 x2  2 Cl 1.55
Cl  0.0065  0.0000  0.2325 x4  2 Pu 2.66-2.78
Cl  0.1464  0.5000  0.5730 x4  1 H 1.55
Cl  0.1729  0.3140  0.1275 x8  2 Pu 2.69-2.81

---

DFT (PBE) results for a relaxed Pu4H2Cl5 crystal.

**Total energy**: -84.22 eV/f.u.
**V**: 468 Å³/cell
**Total magnetization**: 20.887 Bohr magnetons per cell
**N(E_F)**: 2.039 states/eV per atom

a = 17.5022 Å, b = 3.3779 Å, c = 7.9307 Å
α = 90.00°, β = 92.87°, γ = 90.00°
Last column: nearest neighbours and their distance in Å.
Space group C2/m (No. 12)
One atom of each set of equivalent atoms:
Pu  0.0052  0.0000  0.3029 x4  4 H 2.53-2.55, 2 Cl 2.73-2.81
Pu  0.2114  0.5000  0.5507 x4  2 Pu 2.33
H  0.0611  0.5000  0.5163 x4  1 H 2.14
Cl  0.0000  0.5000  0.0000 x2  4 Pu 2.93
Cl  0.1525  0.0000  0.7858 x4  3 Pu 2.75-2.81
Cl  0.1579  0.0000  0.2461 x4  4 Pu 2.73-3.06

---

DFT (PBE) results for a relaxed PuHCl6 crystal.

**Total energy**: -37.95 eV/f.u.
**V**: 1101 Å³/cell
**Total magnetization**: 12.000 Bohr magnetons per cell
**N(E_F)**: 0.905 states/eV per atom

a = 11.7663 Å, b = 9.0041 Å, c = 10.6586 Å
α = 90.00°, β = 102.83°, γ = 90.00°
Last column: nearest neighbours and their distance in Å.
Space group C2/c (No. 15)
One atom of each set of equivalent atoms:
Pu  0.2500  0.2500  0.0000 x4  6 Cl 2.47-2.69
H  0.0000  0.2164  0.7500 x4  2 Cl 1.56
Cl  0.0715  0.1991  0.0783 x8  1 Pu 2.47
Cl  0.1336  0.2149  0.7549 x8  1 H 1.56
Cl  0.2021  0.4829  0.4875 x8  1 Pu 2.47

---

DFT (PBE) results for a relaxed PuH2Cl crystal.

**Total energy**: -26.08 eV/f.u.
**V**: 167 Å³/cell
**Total magnetization**: 15.000 Bohr magnetons per cell
**N(E_F)**: 1.501 states/eV per atom

a = 3.7560 Å, b = 3.7560 Å, c = 13.6664 Å
α = 90.00°, β = 90.00°, γ = 120.00°
Last column: nearest neighbours and their distance in Å.
Space group R-3m (No. 166, hexagonal axes)
One atom of each set of equivalent atoms:
Pu  0.0000  0.0000  0.0000 x3  6 H 2.21
H  0.0000  0.0000  0.3022 x6  3 Pu 2.21, 3 H 2.33
Cl  0.0000  0.0000  0.5000 x3  8 H 2.70-2.85

---

DFT (PBE) results for a relaxed PuHCl3 crystal.

**Total energy**: -30.76 eV/f.u.
**V**: 628 Å³/cell
**Total magnetization**: 20.000 Bohr magnetons per cell
**N(E_F)**: 2.304 states/eV per atom

a = 7.1579 Å, b = 7.1051 Å, c = 13.1106 Å
α = 90.00°, β = 109.67°, γ = 90.00°
Last column: nearest neighbours and their distance in Å.
Space group P2/c (No. 13)
One atom of each set of equivalent atoms:
Pu  0.0006  0.2502  0.0871 x4  6 Cl 2.68-2.76
H  0.0557  0.2406  0.7623 x4  1 H 0.75
Cl  0.2315  0.0594  0.9989 x4  2 Pu 2.68-2.76
Cl  0.2324  0.4398  0.5861 x4  2 Pu 2.68-2.76
Cl  0.2523  0.2511  0.2966 x4  2 Pu 2.73

---

DFT (PBE) results for a relaxed PuHCl2 crystal.

**Total energy**: -24.32 eV/f.u.
**V**: 85 Å³/cell
**Total magnetization**: 6.344 Bohr magnetons per cell
**N(E_F)**: 1.635 states/eV per atom

a = 3.6690 Å, b = 3.6702 Å, c = 7.5153 Å
α = 90.35°, β = 103.00°, γ = 119.81°
Last column: nearest neighbours and their distance in Å.
Space group P-1 (No. 2)
One atom of each set of equivalent atoms:
Pu  0.0000  0.0000  0.0000 x1  6 Cl 2.93-2.94
H  0.0000  0.5000  0.5000 x1  2 Cl 1.59
Cl  0.1568  0.5750  0.7196 x2  1 H 1.59

---

DFT (PBE) results for a relaxed PuH2Cl crystal.

**Total energy**: -26.29 eV/f.u.
**V**: 113 Å³/cell
**Total magnetization**: 10.000 Bohr magnetons per cell
**N(E_F)**: 1.903 states/eV per atom

a = 3.7619 Å, b = 5.4003 Å, c = 5.5861 Å
α = 90.00°, β = 90.00°, γ = 90.00°
Last column: nearest neighbours and their distance in Å.
Space group Pmmn (No. 59, origin choice 2)
One atom of each set of equivalent atoms:
Pu  0.2500  0.2500  0.1839 x2  6 H 2.22-2.24
H  0.2500  0.5462  0.9085 x4  3 H 2.20, 3 Pu 2.22-2.24
Cl  0.2500  0.7500  0.4153 x2  4 Pu 2.92-2.99, 8 H 2.97-3.06

---

DFT (PBE) results for a relaxed PuH2Cl crystal.

**Total energy**: -26.16 eV/f.u.
**V**: 119 Å³/cell
**Total magnetization**: 10.000 Bohr magnetons per cell
**N(E_F)**: 1.676 states/eV per atom

a = 3.8473 Å, b = 6.0535 Å, c = 5.4314 Å
α = 90.00°, β = 109.76°, γ = 90.00°
Last column: nearest neighbours and their distance in Å.
Space group P2_1/m (No. 11)
One atom of each set of equivalent atoms:
Pu  0.2050  0.2500  0.4064 x2  6 H 2.22-2.25
H  0.3154  0.5607  0.6371 x4  3 Pu 2.22-2.25, 1 H 2.29
Cl  0.0846  0.7500  0.1530 x2  6 H 2.73-2.90, 3 Pu 2.86-2.96

---

DFT (PBE) results for a relaxed PuH2Cl8 crystal.

**Total energy**: -45.93 eV/f.u.
**V**: 736 Å³/cell
**Total magnetization**: 4.000 Bohr magnetons per cell
**N(E_F)**: 0.753 states/eV per atom

a = 12.8336 Å, b = 8.7389 Å, c = 6.5635 Å
α = 90.00°, β = 90.89°, γ = 90.00°
Last column: nearest neighbours and their distance in Å.
Space group C2/m (No. 12)
One atom of each set of equivalent atoms:
Pu  0.0000  0.0000  0.0000 x2  6 Cl 2.46
H  0.2340  0.5000  0.6982 x4  1 Cl 1.29
Cl  0.0859  0.1982  0.2098 x8  1 Pu 2.46
Cl  0.1354  0.5000  0.6583 x4  1 H 1.29
Cl  0.1497  0.0000  0.7708 x4  1 Pu 2.46

---

DFT (PBE) results for a relaxed PuH2Cl crystal.

**Total energy**: -24.56 eV/f.u.
**V**: 54 Å³/cell
**Total magnetization**: 5.000 Bohr magnetons per cell
**N(E_F)**: 1.527 states/eV per atom

a = 3.1889 Å, b = 3.1889 Å, c = 5.3583 Å
α = 90.00°, β = 90.00°, γ = 90.00°
Last column: nearest neighbours and their distance in Å.
Space group P4/mmm (No. 123)
One atom of each set of equivalent atoms:
Pu  0.0000  0.0000  0.0000 x1  8 H 2.42, 2 Cl 2.68
H  0.5000  0.5000  0.1653 x2  1 H 1.77
Cl  0.0000  0.0000  0.5000 x1  2 Pu 2.68, 8 H 2.88

---

DFT (PBE) results for a relaxed PuHCl2 crystal.

**Total energy**: -27.13 eV/f.u.
**V**: 179 Å³/cell
**Total magnetization**: 10.000 Bohr magnetons per cell
**N(E_F)**: 2.955 states/eV per atom

a = 6.6675 Å, b = 3.8496 Å, c = 7.2988 Å
α = 90.00°, β = 107.08°, γ = 90.00°
Last column: nearest neighbours and their distance in Å.
Space group Cm (No. 8)
One atom of each set of equivalent atoms:
Pu  0.0000  0.0000  0.0000 x2  3 H 2.22
H  0.3334  0.0000  0.0000 x2  3 Pu 2.22
Cl  0.0849  0.5000  0.7463 x2  3 H 2.84, 3 Pu 2.84
Cl  0.2483  0.5000  0.2537 x2  3 Pu 2.84, 3 H 2.84

---

DFT (PBE) results for a relaxed PuH2Cl3 crystal.

**Total energy**: -29.53 eV/f.u.
**V**: 372 Å³/cell
**Total magnetization**: 14.000 Bohr magnetons per cell
**N(E_F)**: 1.521 states/eV per atom

a = 7.6119 Å, b = 7.6119 Å, c = 7.4156 Å
α = 90.00°, β = 90.00°, γ = 120.00°
Last column: nearest neighbours and their distance in Å.
Space group P6_3/mmc (No. 194)
One atom of each set of equivalent atoms:
Pu  0.0000  0.0000  0.0000 x2  6 Cl 2.73
H  0.3333  0.6667  0.0424 x4  1 H 3.08, 3 Cl 3.22
Cl  0.1525  0.3050  0.7500 x6  2 Pu 2.73

---

DFT (PBE) results for a relaxed Rb2PuHCl6 crystal.

**Total energy**: -47.03 eV/f.u.
**V**: 325 Å³/cell
**Total magnetization**: 5.000 Bohr magnetons per cell
**N(E_F)**: 0.821 states/eV per atom

a = 6.4153 Å, b = 7.9254 Å, c = 7.9451 Å
α = 114.39°, β = 100.54°, γ = 108.49°
Last column: nearest neighbours and their distance in Å.
Space group P-1 (No. 2)
One atom of each set of equivalent atoms:
Rb  0.0611  0.2179  0.3165 x2  7 Cl 3.27-3.60
Pu  0.5000  0.5000  0.0000 x1  6 Cl 2.66-2.94
H  0.5000  0.0000  0.5000 x1  2 Cl 1.56
Cl  0.0533  0.2703  0.9289 x2  1 Pu 2.66
Cl  0.3841  0.6362  0.7525 x2  1 Pu 2.70
Cl  0.3877  0.1206  0.6342 x2  1 H 1.56

---

DFT (PBE) results for a relaxed Pu2H2SCl crystal.

**Total energy**: -48.34 eV/f.u.
**V**: 99 Å³/cell
**Total magnetization**: 11.000 Bohr magnetons per cell
**N(E_F)**: 2.319 states/eV per atom

a = 3.8621 Å, b = 3.8621 Å, c = 7.6664 Å
α = 90.00°, β = 90.00°, γ = 120.00°
Last column: nearest neighbours and their distance in Å.
Space group P-3m1 (No. 164)
One atom of each set of equivalent atoms:
Pu  0.3333  0.6667  0.2746 x2  3 H 2.24
H  0.3333  0.6667  0.7511 x2  3 Pu 2.24
S  0.0000  0.0000  0.5000 x1  6 Pu 2.82, 6 H 2.95
Cl  0.0000  0.0000  0.0000 x1  6 H 2.93, 6 Pu 3.07